Density functional theory data (PBE-GGA) for a relaxed Dy2Ni7 crystal.

Cell lengths 4.936, 4.936, 24.111 Å; angles 90.00, 90.00, 120.00 degrees
Each line ends with the local moment (μB).
Element x y z (fractional)
Dy 0.333 0.667 0.471  -0.04
Dy 0.667 0.333 0.529  -0.04
Dy 0.667 0.333 0.971  -0.04
Dy 0.333 0.667 0.029  -0.04
Dy 0.333 0.667 0.326  -0.06
Dy 0.667 0.333 0.674  -0.06
Dy 0.667 0.333 0.826  -0.06
Dy 0.333 0.667 0.174  -0.06
Ni 0.000 0.000 0.500  0.08
Ni 0.000 0.000 0.000  0.08
Ni 0.833 0.167 0.250  0.38
Ni 0.833 0.666 0.250  0.38
Ni 0.334 0.167 0.250  0.38
Ni 0.167 0.833 0.750  0.38
Ni 0.167 0.334 0.750  0.38
Ni 0.666 0.833 0.750  0.38
Ni 0.833 0.167 0.415  0.16
Ni 0.833 0.666 0.415  0.16
Ni 0.334 0.167 0.415  0.16
Ni 0.167 0.833 0.585  0.16
Ni 0.167 0.334 0.585  0.16
Ni 0.666 0.833 0.585  0.16
Ni 0.167 0.833 0.915  0.16
Ni 0.167 0.334 0.915  0.16
Ni 0.666 0.833 0.915  0.16
Ni 0.833 0.167 0.085  0.16
Ni 0.833 0.666 0.085  0.16
Ni 0.334 0.167 0.085  0.16
Ni 0.000 0.000 0.332  0.27
Ni 0.000 0.000 0.668  0.27
Ni 0.000 0.000 0.832  0.27
Ni 0.000 0.000 0.168  0.27
Ni 0.333 0.667 0.667  0.24
Ni 0.667 0.333 0.333  0.24
Ni 0.667 0.333 0.167  0.24
Ni 0.333 0.667 0.833  0.24

* energy relative to the lowest polymorph listed for this composition: 0.06 eV per formula unit
* calculated formation energy: -3.52 eV/f.u.

***

Density functional theory data (PBE-GGA) for a relaxed Sm3Y4Tm4 crystal.

Cell lengths 5.670, 6.645, 10.535 Å; angles 90.00, 90.00, 115.25 degrees
Element x y z (fractional)
Sm 0.410 0.820 0.289
Sm 0.410 0.820 0.711
Sm 0.255 0.510 0.000
Y 0.750 0.500 0.790
Y 0.750 0.500 0.210
Y 0.887 0.773 0.500
Y 0.961 0.922 0.000
Tm 0.614 0.227 0.500
Tm 0.553 0.106 0.000
Tm 0.105 0.210 0.700
Tm 0.105 0.210 0.300

* energy relative to the lowest polymorph listed for this composition: 1.52 eV per formula unit
* calculated formation energy: 1.78 eV/f.u.